First-principles (GGA-PBE) data for an optimized crystal structure of PuThTc2, as listed in the Alexandria database.

Cell: 3.428 3.428 7.082 Å, 90.00 90.00 90.00°
Positions (direct):
Pu 0.000 0.000 0.000
Th 0.000 0.000 0.500
Tc 0.500 0.500 0.222
Tc 0.500 0.500 0.778

Values from the calculation:
Fermi-level density of states (states/eV per cell): 6.97
Theoretical density (g/cm³): 13.41
Magnetic moment (Bohr magnetons per cell): 3.51
Crystal system: tetragonal
SG: P4/mmm (123)
Formation energy (kJ/mol of formula units): 27


First-principles (GGA-PBE) data for an optimized crystal structure of SmTm4Te5, as listed in the Alexandria database.

Cell: 15.913 15.913 15.913 Å, 164.50 164.50 21.99°
Positions (direct):
Sm 0.000 0.000 0.000
Tm 0.210 0.210 0.000
Tm 0.406 0.406 0.000
Tm 0.594 0.594 0.000
Tm 0.790 0.790 0.000
Te 0.105 0.105 0.000
Te 0.307 0.307 0.000
Te 0.500 0.500 0.000
Te 0.693 0.693 0.000
Te 0.895 0.895 0.000

Values from the calculation:
Fermi-level density of states (states/eV per cell): 5.29
Theoretical density (g/cm³): 8.45
Magnetic moment (Bohr magnetons per cell): 0.00
E_form (uncorrected) (eV per atom): -1.214
Crystal system: tetragonal
SG: I4/mmm (139)